(a)
FeRu2Rh4 | PBE | relaxed

Structure (extended XYZ):
```
7
Lattice="3.8953 0.0000 0.0000 0.0000 5.1409 -0.5657 0.0000 1.0723 5.0595" Properties=species:S:1:pos:R:3 pbc="T T T"
Rh 0.0000 4.3731 3.1629
Rh 1.9476 2.5704 -0.2829
Rh 1.9476 0.5362 2.5298
Rh 0.0000 1.8401 1.3308
Fe 1.9476 3.1066 2.2469
Ru 0.0000 4.3906 0.4716
Ru 0.0000 1.8226 4.0222
```

Results
symmetry	Cmmm (65)
N(E_F)	9.9	states/eV per cell



(b)
FeRu2Rh4 | PBE | relaxed

Structure (extended XYZ):
```
14
Lattice="2.6971 0.0000 0.0000 -1.3485 6.2739 0.0000 0.0000 0.0000 11.8672" Properties=species:S:1:pos:R:3 pbc="T T T"
Ru 1.3485 4.5782 7.6257
Ru 0.0000 1.6957 1.6921
Ru 0.0000 1.6957 4.2415
Ru 1.3485 4.5782 10.1751
Rh 1.3485 0.0000 0.0000
Rh 1.3485 3.9412 5.0580
Rh 1.3485 5.8159 2.9668
Rh 1.3485 3.9412 0.8756
Rh 0.0000 2.3327 6.8092
Rh 1.3485 0.0000 5.9336
Rh 0.0000 2.3327 10.9916
Rh 0.0000 0.4580 8.9004
Fe 0.0000 3.7800 2.9668
Fe 1.3485 2.4940 8.9004
```

Results
symmetry	Cmcm (63)
N(E_F)	18.8	states/eV per cell



It comes down to (b), which is 67 meV per atom more stable than the next structure.



(a)
ScFe3Rh | PBE | relaxed

Structure (extended XYZ):
```
5
Lattice="4.5903 0.0000 0.0000 0.0000 4.5903 0.0000 0.0000 0.0000 4.5903" Properties=species:S:1:pos:R:3 pbc="T T T"
Fe 2.2951 0.0000 0.0000
Fe 0.0000 0.0000 2.2951
Fe 0.0000 2.2951 0.0000
Rh 0.0000 0.0000 0.0000
Sc 2.2951 2.2951 2.2951
```

Results
symmetry	Pm-3m (221)
N(E_F)	11.0	states/eV per cell



(b)
ScFe3Rh | PBE | relaxed

Structure (extended XYZ):
```
5
Lattice="-1.4360 3.4371 2.2144 -3.5942 -2.1800 1.0529 1.9490 -1.4877 3.5731" Properties=species:S:1:pos:R:3 pbc="T T T"
Rh -1.5406 -0.1153 3.4202
Fe -1.7971 -1.0900 0.5264
Fe -0.7180 1.7186 1.1072
Fe 0.9745 -0.7438 1.7866
Sc 0.0000 0.0000 0.0000
```

Results
symmetry	Pm-3m (221)
N(E_F)	7.3	states/eV per cell



It comes down to (a), which is 618 meV per atom more stable than the next structure.



(a)
ScFe2Rh2 | PBE | relaxed

Structure (extended XYZ):
```
10
Lattice="7.1989 0.0000 0.0000 0.0000 7.1989 0.0000 0.0000 0.0000 2.9317" Properties=species:S:1:pos:R:3 pbc="T T T"
Rh 2.5901 6.1895 0.0000
Rh 4.6088 1.0094 0.0000
Rh 6.1895 4.6088 0.0000
Rh 1.0094 2.5901 0.0000
Fe 4.7282 6.0701 1.4659
Fe 6.0701 2.4707 1.4659
Fe 1.1288 4.7282 1.4659
Fe 2.4707 1.1288 1.4659
Sc 3.5995 3.5995 0.0000
Sc 0.0000 0.0000 0.0000
```

Results
symmetry	P4/mbm (127)
N(E_F)	15.5	states/eV per cell



(b)
ScFe2Rh2 | PBE | relaxed

Structure (extended XYZ):
```
10
Lattice="-6.4817 -1.8542 -2.6111 1.6119 -6.9824 0.9570 -1.0853 0.1082 2.6172" Properties=species:S:1:pos:R:3 pbc="T T T"
Fe -1.0664 -6.8888 -0.1574
Fe -4.7408 -5.9378 -1.7204
Fe -3.8034 -1.9478 -1.4966
Fe -0.1290 -2.8988 0.0664
Rh -5.3424 -3.7018 -0.5264
Rh -3.6275 -6.9330 0.3183
Rh -2.3276 -1.7955 0.6449
Rh -0.6127 -5.0266 1.4896
Sc 0.0000 0.0000 0.0000
Sc -2.4349 -4.4183 -0.8270
```

Results
symmetry	P4/mbm (127)
N(E_F)	11.3	states/eV per cell



It comes down to (b), which is 20 meV per atom more stable than the next structure.



(a)
FeRhSe4 | PBE | relaxed

Structure (extended XYZ):
```
6
Lattice="0.0000 3.9049 3.9049 3.9049 0.0000 3.9049 3.9049 3.9049 0.0000" Properties=species:S:1:pos:R:3 pbc="T T T"
Se 2.9245 2.9245 2.9245
Se 4.8854 2.9245 4.8854
Se 4.8854 4.8854 2.9245
Se 2.9245 4.8854 4.8854
Rh 0.0000 0.0000 0.0000
Fe 5.8574 5.8574 5.8574
```

Results
symmetry	F-43m (216)
N(E_F)	7.6	states/eV per cell



(b)
FeRhSe4 | PBE | relaxed

Structure (extended XYZ):
```
12
Lattice="5.9295 0.0000 0.0237 0.0000 5.9304 0.0000 -0.0637 0.0000 5.9336" Properties=species:S:1:pos:R:3 pbc="T T T"
Se 3.6046 0.7020 5.1406
Se 3.7119 3.7462 3.6604
Se 0.6399 2.2632 5.1287
Se 0.7471 5.1493 3.6486
Se 2.1539 2.1841 2.2969
Se 2.2612 5.2284 0.8167
Se 5.1187 0.7811 2.3087
Se 5.2259 3.6672 0.8286
Fe 2.9329 0.0000 2.9787
Fe -0.0318 2.9652 2.9668
Rh 0.0000 0.0000 0.0000
Rh 2.9647 2.9652 0.0119
```

Results
symmetry	P2_1/c (14)
N(E_F)	7.9	states/eV per cell



It comes down to (b), which is 1423 meV per atom more stable than the next structure.